Computed, not measured: PrSm2Ni after structural relaxation at the GGA-PBE level of DFT.

The structure in CIF format:
```
data_PrSm2Ni
_chemical_formula_sum 'Pr4 Sm8 Ni4'
_symmetry_space_group_name_H-M 'P n m a'
_symmetry_Int_Tables_number 62
_symmetry_space_group_name_Hall '-P 2ac 2n'
_cell_length_a 7.0282
_cell_length_b 9.8798
_cell_length_c 6.5170
_cell_angle_alpha 90.00
_cell_angle_beta 90.00
_cell_angle_gamma 90.00
loop_
_atom_site_label
_atom_site_type_symbol
_atom_site_fract_x
_atom_site_fract_y
_atom_site_fract_z
_atom_site_occupancy
Pr1 Pr 0.0340 0.2500 0.1417 1
Sm1 Sm 0.1760 0.0669 0.6742 1
Ni1 Ni 0.1120 0.7500 0.4283 1
```

Energy = -82.94 eV/cell
Total magnetic moment = 0.00 μB per cell

***

Computed, not measured: Sm2Y2Th15 after structural relaxation at the GGA-PBE level of DFT.

The structure in CIF format:
```
data_Sm2Y2Th15
_chemical_formula_sum 'Sm6 Y6 Th45'
_symmetry_space_group_name_H-M 'R -3 m'
_symmetry_Int_Tables_number 166
_symmetry_space_group_name_Hall '-R 3 2"'
_cell_length_a 11.4584
_cell_length_b 11.4584
_cell_length_c 17.2427
_cell_angle_alpha 90.00
_cell_angle_beta 90.00
_cell_angle_gamma 120.00
loop_
_atom_site_label
_atom_site_type_symbol
_atom_site_fract_x
_atom_site_fract_y
_atom_site_fract_z
_atom_site_occupancy
Sm1 Sm 0.0000 0.0000 0.1769 1
Y1 Y 0.0000 0.0000 0.4007 1
Th1 Th 0.0000 0.2988 0.5000 1
Th2 Th 0.0000 0.5000 0.0000 1
Th3 Th 0.0114 0.5057 0.6495 1
```

Energy = -385.09 eV/cell
Total magnetic moment = 0.00 μB per cell